## NaW9O27 (PBE with a Hubbard U)

Data for a relaxed NaW9O27 crystal.

Computed properties:
Its raw total energy is -822.857 eV/cell. For the density of states at the Fermi level, the calculation gives 0.11 states/eV/atom.

Unit cell a=9.4811 b=9.4811 c=20.1112 alpha=90.00 beta=90.00 gamma=120.00
Space group R-3 (No. 148, hexagonal axes)
Asymmetric unit:
Na1 0.0000 0.0000 0.0000 (multiplicity 3)
W1 0.0000 0.0000 0.1676 (multiplicity 6)
W2 0.0000 0.0000 0.5000 (multiplicity 3)
W3 0.0011 0.3324 0.3893 (multiplicity 18)
O1 0.0002 0.1649 0.1099 (multiplicity 18)
O2 0.9996 0.1663 0.4445 (multiplicity 18)
O3 0.0002 0.1669 0.7778 (multiplicity 18)
O4 0.0000 0.5000 0.0000 (multiplicity 9)
O5 0.0036 0.5019 0.6666 (multiplicity 18)